w.
First-principles (PBE-GGA) data for AcInBi3 after structural relaxation, as listed in Alexandria.

It has space group P2_1/m (No. 11), with a = 5.508 Å, b = 6.606 Å, c = 9.970 Å, α = 90.00°, β = 105.65° and γ = 90.00°. The distinct sites, in fractional coordinates, are Ac at (0.173, 0.250, 0.347), In at (0.374, 0.250, 0.760), Bi at (0.000, 0.000, 0.000), Bi at (0.219, 0.750, 0.433) and Bi at (0.445, 0.750, 0.890).



x.
First-principles (PBE-GGA) data for AcInBi3 after structural relaxation, as listed in Alexandria.

It has space group Pbcm (No. 57), with a = 15.311 Å, b = 6.598 Å, c = 6.775 Å, α = 90.00°, β = 90.00° and γ = 90.00°. The distinct sites, in fractional coordinates, are Ac at (0.178, 0.000, 0.250), In at (0.393, 0.250, 0.000), Bi at (0.001, 0.250, 0.000), Bi at (0.231, 0.504, 0.250) and Bi at (0.405, 0.731, 0.750).



The structure with the greatest stability is x.



w.
First-principles (PBE-GGA) data for AcIn2Bi after structural relaxation, as listed in Alexandria.

It has space group P4/mmm (No. 123), with a = 4.136 Å, b = 4.136 Å, c = 7.344 Å, α = 90.00°, β = 90.00° and γ = 90.00°. The distinct sites, in fractional coordinates, are Ac at (0.000, 0.000, 0.000), In at (0.500, 0.500, 0.285) and Bi at (0.000, 0.000, 0.500).



x.
First-principles (PBE-GGA) data for AcIn2Bi after structural relaxation, as listed in Alexandria.

It has space group Fm-3m (No. 225), with a = 8.014 Å, b = 8.014 Å, c = 8.014 Å, α = 90.00°, β = 90.00° and γ = 90.00°. The distinct sites, in fractional coordinates, are Ac at (0.000, 0.000, 0.000), In at (0.250, 0.250, 0.250) and Bi at (0.000, 0.000, 0.500).



The structure with the greatest stability is w.



w.
First-principles (PBE-GGA) data for AcIn2Bi after structural relaxation, as listed in Alexandria.

It has space group R-3m (No. 166, hexagonal axes), with a = 5.2704 Å, b = 5.2704 Å, c = 16.4278 Å, α = 90.00°, β = 90.00° and γ = 120.00°. The distinct sites, in fractional coordinates, are Ac at (0.0000, 0.0000, 0.0000), In at (0.0000, 0.0000, 0.2253) and Bi at (0.0000, 0.0000, 0.5000).



x.
First-principles (PBE-GGA) data for AcIn2Bi after structural relaxation, as listed in Alexandria.

It has space group P4/mmm (No. 123), with a = 4.982 Å, b = 4.982 Å, c = 5.019 Å, α = 90.00°, β = 90.00° and γ = 90.00°. The distinct sites, in fractional coordinates, are Ac at (0.000, 0.000, 0.000), In at (0.000, 0.500, 0.500) and Bi at (0.500, 0.500, 0.000).



The structure with the greatest stability is x.



w.
First-principles (PBE-GGA) data for AcInBi2 after structural relaxation, as listed in Alexandria.

It has space group P4/mmm (No. 123), with a = 5.142 Å, b = 5.142 Å, c = 4.877 Å, α = 90.00°, β = 90.00° and γ = 90.00°. The distinct sites, in fractional coordinates, are Ac at (0.000, 0.000, 0.000), In at (0.500, 0.500, 0.000) and Bi at (0.000, 0.500, 0.500).



x.
First-principles (PBE-GGA) data for AcInBi2 after structural relaxation, as listed in Alexandria.

It has space group Fm-3m (No. 225), with a = 8.160 Å, b = 8.160 Å, c = 8.160 Å, α = 90.00°, β = 90.00° and γ = 90.00°. The distinct sites, in fractional coordinates, are Ac at (0.000, 0.000, 0.000), In at (0.000, 0.000, 0.500) and Bi at (0.250, 0.250, 0.250).



y.
First-principles (PBE-GGA) data for AcInBi2 after structural relaxation, as listed in Alexandria.

It has space group R-3m (No. 166, hexagonal axes), with a = 4.7629 Å, b = 4.7629 Å, c = 22.4116 Å, α = 90.00°, β = 90.00° and γ = 120.00°. The distinct sites, in fractional coordinates, are Ac at (0.0000, 0.0000, 0.0000), In at (0.0000, 0.0000, 0.5000) and Bi at (0.0000, 0.0000, 0.2407).



The structure with the greatest stability is w.



w.
First-principles (PBE-GGA) data for AcInBi4 after structural relaxation, as listed in Alexandria.

It has space group F-43m (No. 216), with a = 9.382 Å, b = 9.382 Å, c = 9.382 Å, α = 90.00°, β = 90.00° and γ = 90.00°. The distinct sites, in fractional coordinates, are Ac at (0.000, 0.000, 0.000), In at (0.250, 0.250, 0.750) and Bi at (0.124, 0.124, 0.376).



x.
First-principles (PBE-GGA) data for AcInBi4 after structural relaxation, as listed in Alexandria.

It has space group Cmcm (No. 63), with a = 6.846 Å, b = 19.815 Å, c = 5.888 Å, α = 90.00°, β = 90.00° and γ = 90.00°. The distinct sites, in fractional coordinates, are Ac at (0.000, 0.119, 0.250), In at (0.000, 0.383, 0.750), Bi at (0.241, 0.451, 0.250) and Bi at (0.245, 0.213, 0.750).



The structure with the greatest stability is x.



w.
First-principles (PBE-GGA) data for AcIn3Bi3 after structural relaxation, as listed in Alexandria.

It has space group Pm-3n (No. 223), with a = 8.352 Å, b = 8.352 Å, c = 8.352 Å, α = 90.00°, β = 90.00° and γ = 90.00°. The distinct sites, in fractional coordinates, are Ac at (0.000, 0.000, 0.000), In at (0.000, 0.250, 0.500) and Bi at (0.000, 0.500, 0.250).



x.
First-principles (PBE-GGA) data for AcIn3Bi3 after structural relaxation, as listed in Alexandria.

It has space group P6_3/m (No. 176), with a = 14.7359 Å, b = 14.7359 Å, c = 4.5712 Å, α = 90.00°, β = 90.00° and γ = 120.00°. The distinct sites, in fractional coordinates, are Ac at (0.3333, 0.6667, 0.2500), In at (0.0800, 0.5960, 0.2500) and Bi at (0.1512, 0.4927, 0.7500).



The structure with the greatest stability is x.



w.
First-principles (PBE-GGA) data for AcInBiPb after structural relaxation, as listed in Alexandria.

It has space group F-43m (No. 216), with a = 8.125 Å, b = 8.125 Å, c = 8.125 Å, α = 90.00°, β = 90.00° and γ = 90.00°. The distinct sites, in fractional coordinates, are Ac at (0.000, 0.000, 0.000), In at (0.250, 0.250, 0.750), Bi at (0.250, 0.250, 0.250) and Pb at (0.000, 0.000, 0.500).



x.
First-principles (PBE-GGA) data for AcInBiPb after structural relaxation, as listed in Alexandria.

It has space group Pmmm (No. 47), with a = 4.989 Å, b = 4.999 Å, c = 5.136 Å, α = 90.00°, β = 90.00° and γ = 90.00°. The distinct sites, in fractional coordinates, are Ac at (0.000, 0.000, 0.000), In at (0.000, 0.500, 0.500), Bi at (0.500, 0.500, 0.000) and Pb at (0.500, 0.000, 0.500).



The structure with the greatest stability is x.



w.
First-principles (PBE-GGA) data for AcInBiSe after structural relaxation, as listed in Alexandria.

It has space group F-43m (No. 216), with a = 7.881 Å, b = 7.881 Å, c = 7.881 Å, α = 90.00°, β = 90.00° and γ = 90.00°. The distinct sites, in fractional coordinates, are Ac at (0.000, 0.000, 0.000), In at (0.000, 0.000, 0.500), Bi at (0.250, 0.250, 0.750) and Se at (0.250, 0.250, 0.250).



x.
First-principles (PBE-GGA) data for AcInBiSe after structural relaxation, as listed in Alexandria.

It has space group P4/nmm (No. 129, origin choice 2), with a = 5.358 Å, b = 5.358 Å, c = 8.935 Å, α = 90.00°, β = 90.00° and γ = 90.00°. The distinct sites, in fractional coordinates, are Ac at (0.250, 0.250, 0.172), In at (0.250, 0.750, 0.500), Bi at (0.250, 0.250, 0.680) and Se at (0.250, 0.750, 0.000).



The structure with the greatest stability is x.



w.
First-principles (PBE-GGA) data for AcInSnBi after structural relaxation, as listed in Alexandria.

It has space group F-43m (No. 216), with a = 8.012 Å, b = 8.012 Å, c = 8.012 Å, α = 90.00°, β = 90.00° and γ = 90.00°. The distinct sites, in fractional coordinates, are Ac at (0.000, 0.000, 0.000), In at (0.250, 0.250, 0.750), Sn at (0.250, 0.250, 0.250) and Bi at (0.000, 0.000, 0.500).



x.
First-principles (PBE-GGA) data for AcInSnBi after structural relaxation, as listed in Alexandria.

It has space group Pmmm (No. 47), with a = 4.916 Å, b = 5.011 Å, c = 5.051 Å, α = 90.00°, β = 90.00° and γ = 90.00°. The distinct sites, in fractional coordinates, are Ac at (0.000, 0.000, 0.000), In at (0.000, 0.500, 0.500), Sn at (0.500, 0.000, 0.500) and Bi at (0.500, 0.500, 0.000).



The structure with the greatest stability is x.



w.
First-principles (PBE-GGA) data for AcTlInBi after structural relaxation, as listed in Alexandria.

It has space group Pmmm (No. 47), with a = 4.898 Å, b = 5.070 Å, c = 5.119 Å, α = 90.00°, β = 90.00° and γ = 90.00°. The distinct sites, in fractional coordinates, are Ac at (0.000, 0.000, 0.000), Tl at (0.500, 0.000, 0.500), In at (0.000, 0.500, 0.500) and Bi at (0.500, 0.500, 0.000).



x.
First-principles (PBE-GGA) data for AcTlInBi after structural relaxation, as listed in Alexandria.

It has space group F-43m (No. 216), with a = 8.061 Å, b = 8.061 Å, c = 8.061 Å, α = 90.00°, β = 90.00° and γ = 90.00°. The distinct sites, in fractional coordinates, are Ac at (0.000, 0.000, 0.000), Tl at (0.250, 0.250, 0.250), In at (0.000, 0.000, 0.500) and Bi at (0.250, 0.250, 0.750).



The structure with the greatest stability is w.



w.
First-principles (PBE-GGA) data for AcBiIr after structural relaxation, as listed in Alexandria.

It has space group F-43m (No. 216), with a = 7.084 Å, b = 7.084 Å, c = 7.084 Å, α = 90.00°, β = 90.00° and γ = 90.00°. The distinct sites, in fractional coordinates, are Ac at (0.000, 0.000, 0.000), Bi at (0.000, 0.000, 0.500) and Ir at (0.250, 0.250, 0.750).



x.
First-principles (PBE-GGA) data for AcBiIr after structural relaxation, as listed in Alexandria.

It has space group I4mm (No. 107), with a = 4.184 Å, b = 4.184 Å, c = 10.636 Å, α = 90.00°, β = 90.00° and γ = 90.00°. The distinct sites, in fractional coordinates, are Ac at (0.000, 0.000, 0.000), Bi at (0.000, 0.000, 0.311) and Ir at (0.000, 0.000, 0.567).



y.
First-principles (PBE-GGA) data for AcBiIr after structural relaxation, as listed in Alexandria.

It has space group P2/m (No. 10), with a = 5.582 Å, b = 4.546 Å, c = 7.672 Å, α = 90.00°, β = 110.65° and γ = 90.00°. The distinct sites, in fractional coordinates, are Ac at (0.133, 0.000, 0.261), Bi at (0.339, 0.500, 0.682) and Ir at (0.230, 0.500, 0.004).



z.
First-principles (PBE-GGA) data for AcBiIr after structural relaxation, as listed in Alexandria.

It has space group P-6m2 (No. 187), with a = 4.7466 Å, b = 4.7466 Å, c = 4.3587 Å, α = 90.00°, β = 90.00° and γ = 120.00°. The distinct sites, in fractional coordinates, are Ac at (0.0000, 0.0000, 0.0000), Bi at (0.6667, 0.3333, 0.5000) and Ir at (0.3333, 0.6667, 0.5000).



The structure with the greatest stability is y.



w.
First-principles (PBE-GGA) data for Ac2BiIr after structural relaxation, as listed in Alexandria.

It has space group R-3m (No. 166, hexagonal axes), with a = 3.5946 Å, b = 3.5946 Å, c = 34.8329 Å, α = 90.00°, β = 90.00° and γ = 120.00°. The distinct sites, in fractional coordinates, are Ac at (0.0000, 0.0000, 0.0781), Bi at (0.0000, 0.0000, 0.5000) and Ir at (0.0000, 0.0000, 0.0000).



x.
First-principles (PBE-GGA) data for Ac2BiIr after structural relaxation, as listed in Alexandria.

It has space group P4/mmm (No. 123), with a = 3.829 Å, b = 3.829 Å, c = 8.384 Å, α = 90.00°, β = 90.00° and γ = 90.00°. The distinct sites, in fractional coordinates, are Ac at (0.000, 0.000, 0.211), Bi at (0.500, 0.500, 0.500) and Ir at (0.500, 0.500, 0.000).



The structure with the greatest stability is x.